Record 1
Compound: Nd2HoPuP4
Source: Alexandria
Functional: PBE-GGA
Structure: optimized geometry

The calculated volume comes out at 191.4 Å³ per cell. For the formation enthalpy at 0 K, the calculation gives -1115 kJ/mol of formula units.

The space group is P2/m (No. 10) and the conventional cell measures 7.0445, 4.0825 and 7.0584 Å, with angles of 90.00, 109.47 and 90.00 degrees. The inequivalent atoms are Nd at (0.0000, 0.0000, 0.0000), Nd at (0.5000, 0.5000, 0.0000), Ho at (0.0000, 0.5000, 0.5000), Pu at (0.5000, 0.0000, 0.5000), P at (0.2477, 0.0000, 0.7374) and P at (0.2568, 0.5000, 0.2644).

Record 2
Compound: NdHoP2Rh5
Source: Alexandria
Functional: PBE-GGA
Structure: optimized geometry

The calculated volume comes out at 175.9 Å³ per cell. For the formation enthalpy at 0 K, the calculation gives -665 kJ/mol of formula units.

The space group is P4/mmm (No. 123) and the conventional cell measures 4.0636, 4.0636 and 10.6506 Å, with angles of 90.00, 90.00 and 90.00 degrees. The inequivalent atoms are Nd at (0.0000, 0.0000, 0.0000), Ho at (0.0000, 0.0000, 0.5000), P at (0.5000, 0.5000, 0.2132), Rh at (0.0000, 0.5000, 0.3056) and Rh at (0.5000, 0.5000, 0.0000).

Record 3
Compound: Nd2HoP3Rh4
Source: Alexandria
Functional: PBE-GGA
Structure: optimized geometry

The calculated volume comes out at 182.4 Å³ per cell. For the formation enthalpy at 0 K, the calculation gives -1031 kJ/mol of formula units.

The space group is P-4m2 (No. 115) and the conventional cell measures 4.0342, 4.0342 and 11.2085 Å, with angles of 90.00, 90.00 and 90.00 degrees. The inequivalent atoms are Nd at (0.0000, 0.5000, 0.2243), Ho at (0.0000, 0.0000, 0.5000), P at (0.0000, 0.5000, 0.8760), P at (0.5000, 0.5000, 0.5000), Rh at (0.0000, 0.0000, 0.0000), Rh at (0.0000, 0.5000, 0.6673) and Rh at (0.5000, 0.5000, 0.0000).

Record 4
Compound: NdHoPS
Source: Alexandria
Functional: PBE-GGA
Structure: optimized geometry

The calculated volume comes out at 278.7 Å³ per cell. Its uncorrected formation energy is -1.849 eV per atom.

The space group is R3m (No. 160, hexagonal axes) and the conventional cell measures 4.0233, 4.0233 and 19.8809 Å, with angles of 90.00, 90.00 and 120.00 degrees. The inequivalent atoms are Nd at (0.0000, 0.0000, 0.0000), Ho at (0.0000, 0.0000, 0.5057), P at (0.0000, 0.0000, 0.2486) and S at (0.0000, 0.0000, 0.7573).

Record 5
Compound: NdHo2ScP4
Source: Alexandria
Functional: PBE-GGA
Structure: optimized geometry

The calculated volume comes out at 178.8 Å³ per cell. For the formation enthalpy at 0 K, the calculation gives -1174 kJ/mol of formula units.

The space group is P2/m (No. 10) and the conventional cell measures 6.8896, 3.9876 and 6.9002 Å, with angles of 90.00, 109.45 and 90.00 degrees. The inequivalent atoms are Nd at (0.0000, 0.0000, 0.0000), Ho at (0.0000, 0.5000, 0.5000), Ho at (0.5000, 0.0000, 0.5000), Sc at (0.5000, 0.5000, 0.0000), P at (0.2623, 0.0000, 0.7550) and P at (0.2618, 0.5000, 0.2531).

Record 6
Compound: Nd2HoScP4
Source: Alexandria
Functional: PBE-GGA
Structure: optimized geometry

The calculated volume comes out at 184.4 Å³ per cell. For the formation enthalpy at 0 K, the calculation gives -1166 kJ/mol of formula units.

The space group is P2/m (No. 10) and the conventional cell measures 6.9589, 4.0317 and 6.9739 Å, with angles of 90.00, 109.52 and 90.00 degrees. The inequivalent atoms are Nd at (0.0000, 0.0000, 0.0000), Nd at (0.0000, 0.5000, 0.5000), Ho at (0.5000, 0.0000, 0.5000), Sc at (0.5000, 0.5000, 0.0000), P at (0.2655, 0.5000, 0.2493) and P at (0.2697, 0.0000, 0.7625).

Record 7
Compound: NdHoSc2P4
Source: Alexandria
Functional: PBE-GGA
Structure: optimized geometry

The calculated volume comes out at 170.5 Å³ per cell. For the formation enthalpy at 0 K, the calculation gives -1157 kJ/mol of formula units.

The space group is P2/m (No. 10) and the conventional cell measures 6.7744, 3.9286 and 6.8002 Å, with angles of 90.00, 109.57 and 90.00 degrees. The inequivalent atoms are Nd at (0.0000, 0.0000, 0.0000), Ho at (0.0000, 0.5000, 0.5000), Sc at (0.5000, 0.0000, 0.5000), Sc at (0.5000, 0.5000, 0.0000), P at (0.2675, 0.0000, 0.7507) and P at (0.2716, 0.5000, 0.2624).

Record 8
Compound: NdSm3Ho2P6
Source: Alexandria
Functional: PBE-GGA
Structure: optimized geometry

The calculated volume comes out at 575.8 Å³ per cell. For the formation enthalpy at 0 K, the calculation gives -1820 kJ/mol of formula units.

The space group is C2/m (No. 12) and the conventional cell measures 7.0646, 12.2353 and 7.0649 Å, with angles of 90.00, 109.46 and 90.00 degrees. The inequivalent atoms are Nd at (0.0000, 0.0000, 0.0000), Sm at (0.0000, 0.1656, 0.5000), Sm at (0.0000, 0.5000, 0.5000), Ho at (0.0000, 0.3330, 0.0000), P at (0.2428, 0.5000, 0.2457) and P at (0.2483, 0.3305, 0.7534).

Table of total magnetization (Bohr magnetons per cell), in record order: 4.871; 0.000; 0.000; 0.000; 0.000; 0.000; 0.000; 0.000